1.
Mg2ZnNi | meta-GGA SCAN | single point on PBEsol structure

Computed properties:
The value obtained for the calculated formation energy is -0.157 eV/atom.

Unit cell a=3.0164 b=3.0164 c=6.7100 alpha=90.00 beta=90.00 gamma=90.00
Space group P4/mmm (No. 123)
Symmetry-distinct sites (fractional):
1 Mg 0.0000 0.0000 0.2249 x2
2 Zn 0.5000 0.5000 0.5000 x1
3 Ni 0.5000 0.5000 0.0000 x1

***

2.
Sb2SeBr | meta-GGA SCAN | single point on PBEsol structure

Computed properties:
As for the energy: -2.089 Ry per atom.

Unit cell a=7.9881 b=7.9881 c=6.7490 alpha=90.00 beta=90.00 gamma=90.00
Space group I-42d (No. 122)
Symmetry-distinct sites (fractional):
1 Sb 0.2299 0.7500 0.1250 x8
2 Se 0.0000 0.0000 0.0000 x4
3 Br 0.0000 0.0000 0.5000 x4

***

3.
Si2W2I | meta-GGA SCAN | single point on PBEsol structure

Computed properties:
As for the energy: -2.823 Ry per atom.

Unit cell a=4.4395 b=4.4395 c=9.1697 alpha=90.00 beta=90.00 gamma=90.00
Space group I4/mmm (No. 139)
Symmetry-distinct sites (fractional):
1 Si 0.0000 0.0000 0.1274 x4
2 W 0.0000 0.5000 0.2500 x4
3 I 0.0000 0.0000 0.5000 x2

***

4.
LiIrBr4 | meta-GGA SCAN | single point on PBEsol structure

Computed properties:
As for the energy: -1.775 Ry per atom.

Unit cell a=8.5266 b=8.5266 c=8.5266 alpha=90.00 beta=90.00 gamma=90.00
Space group F-43m (No. 216)
Symmetry-distinct sites (fractional):
1 Li 0.0000 0.0000 0.0000 x4
2 Ir 0.2500 0.2500 0.7500 x4
3 Br 0.1233 0.1233 0.3767 x16

***

5.
Mg2Au | meta-GGA SCAN | single point on PBEsol structure

Computed properties:
The value obtained for the calculated formation energy is -0.664 eV/atom.

Unit cell a=12.2461 b=12.2461 c=12.2461 alpha=90.00 beta=90.00 gamma=90.00
Space group Fd-3m (No. 227, origin choice 2)
Symmetry-distinct sites (fractional):
1 Mg 0.0000 0.0000 0.0000 x16
2 Mg 0.0719 0.3750 0.8750 x48
3 Au 0.0308 0.0308 0.2192 x32

***

6.
CaPd2Au | meta-GGA SCAN | single point on PBEsol structure

Computed properties:
The value obtained for the calculated formation energy is -0.566 eV/atom.

Unit cell a=6.5272 b=6.5272 c=6.5272 alpha=90.00 beta=90.00 gamma=90.00
Space group Fm-3m (No. 225)
Symmetry-distinct sites (fractional):
1 Ca 0.0000 0.0000 0.0000 x4
2 Pd 0.2500 0.2500 0.2500 x8
3 Au 0.0000 0.0000 0.5000 x4

***

7.
Mn2ReRu | meta-GGA SCAN | single point on PBEsol structure

Computed properties:
The value obtained for the calculated formation energy is 0.086 eV/atom.

Unit cell a=2.6241 b=2.6241 c=25.1519 alpha=90.00 beta=90.00 gamma=120.00
Space group R-3m (No. 166, hexagonal axes)
Symmetry-distinct sites (fractional):
1 Mn 0.0000 0.0000 0.2486 x6
2 Re 0.0000 0.0000 0.0000 x3
3 Ru 0.0000 0.0000 0.5000 x3

***

8.
Zn2InBi2 | meta-GGA SCAN | single point on PBEsol structure

Computed properties:
The value obtained for the calculated formation energy is 0.121 eV/atom.

Unit cell a=3.9432 b=3.9432 c=16.1410 alpha=90.00 beta=90.00 gamma=90.00
Space group I4/mmm (No. 139)
Symmetry-distinct sites (fractional):
1 Zn 0.0000 0.5000 0.2500 x4
2 In 0.0000 0.0000 0.0000 x2
3 Bi 0.0000 0.0000 0.3781 x4

***

9.
RbCdPt2S | meta-GGA SCAN | single point on PBEsol structure

Computed properties:
As for the energy: -2.817 Ry per atom.

Unit cell a=4.9261 b=4.9261 c=5.4926 alpha=90.00 beta=90.00 gamma=90.00
Space group P4/mmm (No. 123)
Symmetry-distinct sites (fractional):
1 Rb 0.0000 0.0000 0.0000 x1
2 Cd 0.5000 0.5000 0.5000 x1
3 Pt 0.0000 0.5000 0.0000 x2
4 S 0.0000 0.0000 0.5000 x1

***

10.
LaInRe | meta-GGA SCAN | single point on PBEsol structure

Computed properties:
The value obtained for the calculated formation energy is 0.795 eV/atom.

Unit cell a=6.7326 b=6.7326 c=6.7326 alpha=90.00 beta=90.00 gamma=90.00
Space group F-43m (No. 216)
Symmetry-distinct sites (fractional):
1 La 0.0000 0.0000 0.0000 x4
2 In 0.2500 0.2500 0.2500 x4
3 Re 0.0000 0.0000 0.5000 x4

***

11.
BeFeSe | meta-GGA SCAN | single point on PBEsol structure

Computed properties:
As for the energy: -1.018 Ry per atom.

Unit cell a=2.7603 b=2.7603 c=10.9536 alpha=90.00 beta=90.00 gamma=90.00
Space group I4mm (No. 107)
Symmetry-distinct sites (fractional):
1 Be 0.0000 0.0000 0.0000 x2
2 Fe 0.0000 0.0000 0.6123 x2
3 Se 0.0000 0.0000 0.2357 x2

***

12.
RePRuPt2 | meta-GGA SCAN | single point on PBEsol structure

Computed properties:
The value obtained for the calculated formation energy is 1.383 eV/atom.

Unit cell a=4.7917 b=4.7917 c=4.3661 alpha=90.00 beta=90.00 gamma=90.00
Space group P4/mmm (No. 123)
Symmetry-distinct sites (fractional):
1 Re 0.0000 0.0000 0.0000 x1
2 P 0.0000 0.0000 0.5000 x1
3 Ru 0.5000 0.5000 0.5000 x1
4 Pt 0.0000 0.5000 0.0000 x2

***

13.
CrS2BrN | meta-GGA SCAN | single point on PBEsol structure

Computed properties:
As for the energy: -0.870 Ry per atom.

Unit cell a=4.8853 b=4.8853 c=3.6293 alpha=90.00 beta=90.00 gamma=90.00
Space group P4/mmm (No. 123)
Symmetry-distinct sites (fractional):
1 Cr 0.0000 0.0000 0.0000 x1
2 S 0.0000 0.5000 0.5000 x2
3 Br 0.5000 0.5000 0.5000 x1
4 N 0.5000 0.5000 0.0000 x1

***

14.
NaSr2Pd | meta-GGA SCAN | single point on PBEsol structure

Computed properties:
The value obtained for the calculated formation energy is -0.192 eV/atom.

Unit cell a=7.8093 b=7.8093 c=7.8093 alpha=90.00 beta=90.00 gamma=90.00
Space group Fm-3m (No. 225)
Symmetry-distinct sites (fractional):
1 Na 0.0000 0.0000 0.0000 x4
2 Sr 0.2500 0.2500 0.2500 x8
3 Pd 0.0000 0.0000 0.5000 x4

***

15.
AgMo2Pb | meta-GGA SCAN | single point on PBEsol structure

Computed properties:
The value obtained for the calculated formation energy is 0.750 eV/atom.

Unit cell a=2.9947 b=4.2722 c=5.7022 alpha=90.00 beta=90.00 gamma=90.00
Space group Pmmm (No. 47)
Symmetry-distinct sites (fractional):
1 Ag 0.0000 0.0000 0.0000 x1
2 Mo 0.5000 0.5000 0.2013 x2
3 Pb 0.0000 0.0000 0.5000 x1

***

16.
Ca2AlCrO5 | meta-GGA SCAN | single point on PBEsol structure

Computed properties:
As for the energy: -0.856 Ry per atom.

Unit cell a=14.0427 b=5.6154 c=5.3103 alpha=90.00 beta=90.00 gamma=90.00
Space group Ima2 (No. 46)
Symmetry-distinct sites (fractional):
1 Ca 0.1075 0.0311 0.0000 x8
2 Al 0.2500 0.5776 0.9629 x4
3 Cr 0.0000 0.0000 0.5115 x4
4 O 0.0179 0.7450 0.7565 x8
5 O 0.1430 0.0705 0.5302 x8
6 O 0.2500 0.6453 0.6307 x4

***

17.
MnCrIn | meta-GGA SCAN | single point on PBEsol structure

Computed properties:
The value obtained for the calculated formation energy is 0.171 eV/atom.

Unit cell a=4.1907 b=4.1907 c=2.8414 alpha=90.00 beta=90.00 gamma=120.00
Space group P3m1 (No. 156)
Symmetry-distinct sites (fractional):
1 Mn 0.0000 0.0000 0.0000 x1
2 Cr 0.3333 0.6667 0.1134 x1
3 In 0.6667 0.3333 0.5637 x1

***

18.
YCd2I | meta-GGA SCAN | single point on PBEsol structure

Computed properties:
As for the energy: -2.293 Ry per atom.

Unit cell a=7.5916 b=7.5916 c=7.5916 alpha=90.00 beta=90.00 gamma=90.00
Space group Fm-3m (No. 225)
Symmetry-distinct sites (fractional):
1 Y 0.0000 0.0000 0.0000 x4
2 Cd 0.2500 0.2500 0.2500 x8
3 I 0.0000 0.0000 0.5000 x4

***

19.
ZnSbF2 | meta-GGA SCAN | single point on PBEsol structure

Computed properties:
As for the energy: -1.182 Ry per atom.

Unit cell a=3.1121 b=3.1121 c=27.0258 alpha=90.00 beta=90.00 gamma=120.00
Space group R-3m (No. 166, hexagonal axes)
Symmetry-distinct sites (fractional):
1 Zn 0.0000 0.0000 0.0000 x3
2 Sb 0.0000 0.0000 0.5000 x3
3 F 0.0000 0.0000 0.3697 x6

***

20.
KZnSi | meta-GGA SCAN | single point on PBEsol structure

Computed properties:
As for the energy: -0.748 Ry per atom.

Unit cell a=2.9998 b=2.9998 c=14.0888 alpha=90.00 beta=90.00 gamma=90.00
Space group I4mm (No. 107)
Symmetry-distinct sites (fractional):
1 K 0.0000 0.0000 0.0000 x2
2 Zn 0.0000 0.0000 0.3047 x2
3 Si 0.0000 0.0000 0.6879 x2

***

21.
YAlAu | meta-GGA SCAN | single point on PBEsol structure

Computed properties:
The value obtained for the calculated formation energy is -1.094 eV/atom.

Unit cell a=7.1224 b=4.4299 c=7.6818 alpha=90.00 beta=90.00 gamma=90.00
Space group Pnma (No. 62)
Symmetry-distinct sites (fractional):
1 Y 0.0076 0.2500 0.1973 x4
2 Al 0.1747 0.2500 0.5791 x4
3 Au 0.2110 0.7500 0.4061 x4

***

22.
Cr2C | meta-GGA SCAN | single point on PBEsol structure

Computed properties:
The value obtained for the calculated formation energy is -0.003 eV/atom.

Unit cell a=5.5535 b=2.7460 c=6.9376 alpha=90.00 beta=90.00 gamma=90.00
Space group Pnma (No. 62)
Symmetry-distinct sites (fractional):
1 Cr 0.0089 0.2500 0.1804 x4
2 Cr 0.1657 0.7500 0.4537 x4
3 C 0.1991 0.2500 0.6696 x4

***

23.
BaBe2H | meta-GGA SCAN | single point on PBEsol structure

Computed properties:
As for the energy: -0.848 Ry per atom.

Unit cell a=6.7122 b=6.7122 c=6.7122 alpha=90.00 beta=90.00 gamma=90.00
Space group Fm-3m (No. 225)
Symmetry-distinct sites (fractional):
1 Ba 0.0000 0.0000 0.0000 x4
2 Be 0.2500 0.2500 0.2500 x8
3 H 0.0000 0.0000 0.5000 x4

***

24.
AlIr2Pb | meta-GGA SCAN | single point on PBEsol structure

Computed properties:
The value obtained for the calculated formation energy is 0.289 eV/atom.

Unit cell a=4.1550 b=4.1550 c=17.2356 alpha=90.00 beta=90.00 gamma=90.00
Space group I-42d (No. 122)
Symmetry-distinct sites (fractional):
1 Al 0.0000 0.0000 0.0000 x4
2 Ir 0.1922 0.2500 0.1250 x8
3 Pb 0.0000 0.0000 0.5000 x4

***

25.
Al3TeI | meta-GGA SCAN | single point on PBEsol structure

Computed properties:
As for the energy: -1.371 Ry per atom.

Unit cell a=5.4855 b=5.4855 c=5.4855 alpha=90.00 beta=90.00 gamma=90.00
Space group Pm-3m (No. 221)
Symmetry-distinct sites (fractional):
1 Al 0.0000 0.0000 0.5000 x3
2 Te 0.0000 0.0000 0.0000 x1
3 I 0.5000 0.5000 0.5000 x1

***

26.
Fe2HgSbO | meta-GGA SCAN | single point on PBEsol structure

Computed properties:
As for the energy: -2.064 Ry per atom.

Unit cell a=4.8540 b=4.8540 c=5.3012 alpha=90.00 beta=90.00 gamma=90.00
Space group P4/mmm (No. 123)
Symmetry-distinct sites (fractional):
1 Fe 0.0000 0.5000 0.0000 x2
2 Hg 0.0000 0.0000 0.0000 x1
3 Sb 0.0000 0.0000 0.5000 x1
4 O 0.5000 0.5000 0.5000 x1

***

27.
GaAsOs2 | meta-GGA SCAN | single point on PBEsol structure

Computed properties:
The value obtained for the calculated formation energy is 0.155 eV/atom.

Unit cell a=6.0538 b=6.0538 c=6.0538 alpha=90.00 beta=90.00 gamma=90.00
Space group Fm-3m (No. 225)
Symmetry-distinct sites (fractional):
1 Ga 0.0000 0.0000 0.0000 x4
2 As 0.0000 0.0000 0.5000 x4
3 Os 0.2500 0.2500 0.2500 x8

***

Number 1: M_tot 0.1 μB/cell. Number 2: M_tot 0.0 μB/cell. Number 3: M_tot 0.0 μB/cell. Number 4: M_tot 9.6 μB/cell. Number 5: M_tot 0.0 μB/cell. Number 6: M_tot 0.0 μB/cell. Number 7: M_tot 15.0 μB/cell. Number 8: M_tot 0.0 μB/cell. Number 9: M_tot 0.6 μB/cell. Number 10: M_tot 0.0 μB/cell. Number 11: M_tot 0.9 μB/cell. Number 12: M_tot 3.2 μB/cell. Number 13: M_tot 3.9 μB/cell. Number 14: M_tot 0.0 μB/cell. Number 15: M_tot 0.0 μB/cell. Number 16: M_tot 12.0 μB/cell. Number 17: M_tot 0.2 μB/cell. Number 18: M_tot 0.0 μB/cell. Number 19: M_tot 0.0 μB/cell. Number 20: M_tot 0.0 μB/cell. Number 21: M_tot 0.0 μB/cell. Number 22: M_tot 0.0 μB/cell. Number 23: M_tot 0.0 μB/cell. Number 24: M_tot 0.0 μB/cell. Number 25: M_tot 0.0 μB/cell. Number 26: M_tot 8.1 μB/cell. Number 27: M_tot 0.0 μB/cell.